Computed, not measured: an optimized crystal structure of Ac14LaTm at the PBE-GGA level of DFT.

Geometry as CIF:
```
data_Ac14LaTm
_chemical_formula_sum 'Ac28 La2 Tm2'
_cell_length_a 11.2360
_cell_length_b 11.1567
_cell_length_c 11.1587
_cell_angle_alpha 90.00
_cell_angle_beta 90.00
_cell_angle_gamma 90.00
_space_group_name_H-M_alt 'A m m 2'
_space_group_IT_number 38
loop_
_space_group_symop_operation_xyz
'x,y,z'
'-x,-y,z'
'-x,y,z'
'x,-y,z'
'x,y+1/2,z+1/2'
'-x,-y+1/2,z+1/2'
'-x,y+1/2,z+1/2'
'x,-y+1/2,z+1/2'
loop_
_atom_site_label
_atom_site_fract_x
_atom_site_fract_y
_atom_site_fract_z
_atom_site_occupancy
Ac1 0.0000 0.0000 0.0000 1
Ac2 0.0000 0.0000 0.4998 1
Ac3 0.0000 0.2490 0.2498 1
Ac4 0.2548 0.0000 0.7514 1
Ac5 0.2561 0.2487 0.9999 1
Ac6 0.2572 0.0000 0.2485 1
Ac7 0.5000 0.2487 0.7499 1
La1 0.5000 0.0000 0.5000 1
Tm1 0.5000 0.0000 0.9997 1
```

Summary:
Calculated total energy in eV/atom: -4.157
DOS at the Fermi energy in states/eV per atom: 1.810
Formation energy from the elements in eV/atom: 0.0257

Computed, not measured: an optimized crystal structure of Li7SnHg12 at the PBE-GGA level of DFT.

Geometry as CIF:
```
data_Li7SnHg12
_chemical_formula_sum 'Li21 Sn3 Hg36'
_cell_length_a 16.5150
_cell_length_b 16.5150
_cell_length_c 5.7402
_cell_angle_alpha 90.00
_cell_angle_beta 90.00
_cell_angle_gamma 120.00
_space_group_name_H-M_alt 'R -3'
_space_group_IT_number 148
_space_group_name_Hall '-R 3'
loop_
_atom_site_label
_atom_site_fract_x
_atom_site_fract_y
_atom_site_fract_z
_atom_site_occupancy
Li1 0.0000 0.0000 0.0000 1
Li2 0.0583 0.8753 0.3269 1
Sn1 0.0000 0.0000 0.5000 1
Hg1 0.0248 0.4289 0.1859 1
Hg2 0.0578 0.8656 0.8351 1
```

Summary:
Calculated total energy in eV/atom: -1.273
DOS at the Fermi energy in states/eV per atom: 0.346
Formation energy from the elements in eV/atom: -0.2219

Computed, not measured: an optimized crystal structure of TiSiSb2I at the PBE-GGA level of DFT.

Geometry as CIF:
```
data_TiSiSb2I
_chemical_formula_sum 'Ti1 Si1 Sb2 I1'
_cell_length_a 5.1875
_cell_length_b 5.1875
_cell_length_c 5.3411
_cell_angle_alpha 90.00
_cell_angle_beta 90.00
_cell_angle_gamma 90.00
_space_group_name_H-M_alt 'P 4/m m m'
_space_group_IT_number 123
_space_group_name_Hall '-P 4 2'
loop_
_atom_site_label
_atom_site_fract_x
_atom_site_fract_y
_atom_site_fract_z
_atom_site_occupancy
Ti1 0.0000 0.0000 0.0000 1
Si1 0.5000 0.5000 0.5000 1
Sb1 0.0000 0.5000 0.5000 1
I1 0.5000 0.5000 0.0000 1
```

Summary:
Formation energy from raw total energies in eV per atom: 0.85
Calculated total energy in eV/atom: -3.777
Energy relative to the lowest polymorph listed for this composition in eV per atom: 0.246
DOS at the Fermi energy in states/eV per atom: 1.164

Computed, not measured: an optimized crystal structure of Sc2MoW at the PBE-GGA level of DFT.

Geometry as CIF:
```
data_Sc2MoW
_chemical_formula_sum 'Sc8 Mo4 W4'
_cell_length_a 7.4516
_cell_length_b 7.4516
_cell_length_c 5.5516
_cell_angle_alpha 90.00
_cell_angle_beta 90.00
_cell_angle_gamma 90.00
_space_group_name_H-M_alt 'I -4 2 d'
_space_group_IT_number 122
_space_group_name_Hall 'I -4 2bw'
loop_
_atom_site_label
_atom_site_fract_x
_atom_site_fract_y
_atom_site_fract_z
_atom_site_occupancy
Sc1 0.2445 0.7500 0.1250 1
Mo1 0.0000 0.0000 0.0000 1
W1 0.0000 0.0000 0.5000 1
```

Summary:
Calculated total energy in eV/atom: -8.242
Energy relative to the lowest polymorph listed for this composition in eV per atom: 0.840
DOS at the Fermi energy in states/eV per atom: 2.032
Formation energy from the elements in eV/atom: 0.8699

Computed, not measured: an optimized crystal structure of AlSiS6 at the PBE-GGA level of DFT.

Geometry as CIF:
```
data_AlSiS6
_chemical_formula_sum 'Al4 Si4 S24'
_cell_length_a 9.1594
_cell_length_b 9.1594
_cell_length_c 9.1594
_cell_angle_alpha 90.00
_cell_angle_beta 90.00
_cell_angle_gamma 90.00
_space_group_name_H-M_alt 'F m -3 m'
_space_group_IT_number 225
_space_group_name_Hall '-F 4 2 3'
loop_
_atom_site_label
_atom_site_fract_x
_atom_site_fract_y
_atom_site_fract_z
_atom_site_occupancy
Al1 0.0000 0.0000 0.0000 1
Si1 0.0000 0.0000 0.5000 1
S1 0.0000 0.0000 0.2566 1
```

Summary:
Formation energy from raw total energies in eV per atom: 0.33
Calculated total energy in eV/atom: -3.912
DOS at the Fermi energy in states/eV per atom: 1.189

Computed, not measured: an optimized crystal structure of UPaSbAu at the PBE-GGA level of DFT.

Geometry as CIF:
```
data_UPaSbAu
_chemical_formula_sum 'U4 Pa4 Sb4 Au4'
_cell_length_a 7.3989
_cell_length_b 7.3989
_cell_length_c 7.3989
_cell_angle_alpha 90.00
_cell_angle_beta 90.00
_cell_angle_gamma 90.00
_space_group_name_H-M_alt 'F -4 3 m'
_space_group_IT_number 216
_space_group_name_Hall 'F -4 2 3'
loop_
_atom_site_label
_atom_site_fract_x
_atom_site_fract_y
_atom_site_fract_z
_atom_site_occupancy
U1 0.0000 0.0000 0.0000 1
Pa1 0.0000 0.0000 0.5000 1
Sb1 0.2500 0.2500 0.7500 1
Au1 0.2500 0.2500 0.2500 1
```

Summary:
Formation energy from raw total energies in eV per atom: -0.09
Calculated total energy in eV/atom: -7.140
DOS at the Fermi energy in states/eV per atom: 3.211

Computed, not measured: an optimized crystal structure of Cs2LiSnAs2 at the PBE-GGA level of DFT.

Geometry as CIF:
```
data_Cs2LiSnAs2
_chemical_formula_sum 'Cs8 Li4 Sn4 As8'
_cell_length_a 6.8490
_cell_length_b 16.8984
_cell_length_c 6.9596
_cell_angle_alpha 90.00
_cell_angle_beta 90.00
_cell_angle_gamma 90.00
_space_group_name_H-M_alt 'I b a m'
_space_group_IT_number 72
_space_group_name_Hall '-I 2 2c'
loop_
_atom_site_label
_atom_site_fract_x
_atom_site_fract_y
_atom_site_fract_z
_atom_site_occupancy
Cs1 0.2357 0.1718 0.0000 1
Li1 0.0000 0.0000 0.2500 1
Sn1 0.0000 0.5000 0.2500 1
As1 0.2492 0.0857 0.5000 1
```

Summary:
Calculated total energy in eV/atom: -3.262
DOS at the Fermi energy in states/eV per atom: 0.326
Formation energy from the elements in eV/atom: -0.4420

Computed, not measured: an optimized crystal structure of KLiF4 at the PBE-GGA level of DFT.

Geometry as CIF:
```
data_KLiF4
_chemical_formula_sum 'K4 Li4 F16'
_cell_length_a 12.8208
_cell_length_b 5.1929
_cell_length_c 5.3727
_cell_angle_alpha 90.00
_cell_angle_beta 111.66
_cell_angle_gamma 90.00
_space_group_name_H-M_alt 'C 1 2/c 1'
_space_group_IT_number 15
loop_
_space_group_symop_operation_xyz
'x,y,z'
'-x,-y,-z'
'-x,y,-z+1/2'
'x,-y,z+1/2'
'x+1/2,y+1/2,z'
'-x+1/2,-y+1/2,-z'
'-x+1/2,y+1/2,-z+1/2'
'x+1/2,-y+1/2,z+1/2'
loop_
_atom_site_label
_atom_site_fract_x
_atom_site_fract_y
_atom_site_fract_z
_atom_site_occupancy
K1 0.0000 0.2390 0.2500 1
Li1 0.2500 0.2500 0.0000 1
F1 0.0810 0.2699 0.7754 1
F2 0.2336 0.1219 0.3516 1
```

Summary:
Formation energy from raw total energies in eV per atom: -1.86
Calculated total energy in eV/atom: -3.612

Computed, not measured: an optimized crystal structure of LiLa14Sm at the PBE-GGA level of DFT.

Geometry as CIF:
```
data_LiLa14Sm
_chemical_formula_sum 'Li1 La14 Sm1'
_cell_length_a 7.3497
_cell_length_b 7.3497
_cell_length_c 10.5216
_cell_angle_alpha 90.00
_cell_angle_beta 90.00
_cell_angle_gamma 90.00
_space_group_name_H-M_alt 'P 4/m m m'
_space_group_IT_number 123
_space_group_name_Hall '-P 4 2'
loop_
_atom_site_label
_atom_site_fract_x
_atom_site_fract_y
_atom_site_fract_z
_atom_site_occupancy
Li1 0.0000 0.0000 0.0000 1
La1 0.0000 0.0000 0.5000 1
La2 0.0000 0.5000 0.0000 1
La3 0.0000 0.5000 0.5000 1
La4 0.2485 0.2485 0.2473 1
La5 0.5000 0.5000 0.5000 1
Sm1 0.5000 0.5000 0.0000 1
```

Summary:
Calculated total energy in eV/atom: -4.699
DOS at the Fermi energy in states/eV per atom: 1.557
Formation energy from the elements in eV/atom: 0.0270

Computed, not measured: an optimized crystal structure of LaCoSn2 at the PBE-GGA level of DFT.

Geometry as CIF:
```
data_LaCoSn2
_chemical_formula_sum 'La8 Co8 Sn16'
_cell_length_a 4.5894
_cell_length_b 9.5279
_cell_length_c 17.1593
_cell_angle_alpha 90.00
_cell_angle_beta 90.00
_cell_angle_gamma 90.00
_space_group_name_H-M_alt 'I m m m'
_space_group_IT_number 71
_space_group_name_Hall '-I 2 2'
loop_
_atom_site_label
_atom_site_fract_x
_atom_site_fract_y
_atom_site_fract_z
_atom_site_occupancy
La1 0.0000 0.0000 0.2106 1
La2 0.0000 0.2358 0.0000 1
Co1 0.0000 0.2508 0.3532 1
Sn1 0.0000 0.0000 0.4135 1
Sn2 0.0000 0.3347 0.1951 1
Sn3 0.0000 0.5000 0.4173 1
```

Summary:
Calculated total energy in eV/atom: -5.513
DOS at the Fermi energy in states/eV per atom: 0.737
Formation energy from the elements in eV/atom: -0.5029